No. 1
Entry from the Alexandria database: a relaxed CaRuI2N crystal (GGA-PBE).

POSCAR file:
```
CaRuI2N
1.0
5.677 0.000 0.000
0.000 5.677 0.000
0.000 0.000 3.781
Ca Ru I N
1 1 2 1
Direct
0.000 0.000 0.000 Ca
0.500 0.500 0.500 Ru
0.000 0.500 0.500 I
0.500 0.000 0.500 I
0.500 0.500 0.000 N
```

Output
N(E_F): 2.51 states/eV/cell
offset from the most stable computed form: 0.0000 eV/atom
total DFT energy (no corrections): -4.753 eV/atom
space-group type: P4/mmm (123)
energy relative to the elements, uncorrected: -0.212 eV/atom
size of the total moment: 0.00 Bohr magnetons per cell



No. 2
Entry from the Alexandria database: a relaxed CaSIN2 crystal (GGA-PBE).

POSCAR file:
```
CaSIN2
1.0
4.103 0.000 0.000
0.000 4.103 0.000
0.000 0.000 5.340
Ca S I N
1 1 1 2
Direct
0.000 0.000 0.000 Ca
0.500 0.500 0.500 S
0.500 0.500 0.000 I
0.000 0.500 0.500 N
0.500 0.000 0.500 N
```

Output
N(E_F): 2.36 states/eV/cell
offset from the most stable computed form: 0.3381 eV/atom
total DFT energy (no corrections): -3.737 eV/atom
space-group type: P4/mmm (123)
energy relative to the elements, uncorrected: 1.129 eV/atom
size of the total moment: 1.51 Bohr magnetons per cell



No. 3
Entry from the Alexandria database: a relaxed Ca4SI2N crystal (GGA-PBE).

POSCAR file:
```
Ca4SI2N
1.0
7.044 0.000 0.000
0.000 3.983 0.000
-2.292 0.000 7.364
Ca S I N
4 1 2 1
Direct
0.196 0.000 0.172 Ca
0.235 0.500 0.822 Ca
0.765 0.500 0.178 Ca
0.804 0.000 0.828 Ca
0.500 0.000 0.000 S
0.000 0.000 0.500 I
0.500 0.500 0.500 I
0.000 0.500 0.000 N
```

Output
N(E_F): 2.60 states/eV/cell
total DFT energy (no corrections): -4.298 eV/atom
space-group type: P2/m (10)
energy relative to the elements, uncorrected: -1.353 eV/atom
size of the total moment: 0.61 Bohr magnetons per cell



No. 4
Entry from the Alexandria database: a relaxed CaSIN2 crystal (GGA-PBE).

POSCAR file:
```
CaSIN2
1.0
4.536 0.000 0.000
0.000 4.536 0.000
0.000 0.000 6.576
Ca S I N
1 1 1 2
Direct
0.000 0.000 0.000 Ca
0.500 0.500 0.500 S
0.000 0.000 0.500 I
0.000 0.500 0.000 N
0.500 0.000 0.000 N
```

Output
N(E_F): 2.81 states/eV/cell
offset from the most stable computed form: 0.8402 eV/atom
total DFT energy (no corrections): -3.235 eV/atom
space-group type: P4/mmm (123)
energy relative to the elements, uncorrected: 1.631 eV/atom
size of the total moment: 0.63 Bohr magnetons per cell



No. 5
Entry from the Alexandria database: a relaxed CaSIN2 crystal (GGA-PBE).

POSCAR file:
```
CaSIN2
1.0
4.619 0.000 0.000
0.000 4.619 0.000
0.000 0.000 5.770
Ca S I N
1 1 1 2
Direct
0.000 0.000 0.000 Ca
0.000 0.000 0.500 S
0.500 0.500 0.500 I
0.000 0.500 0.000 N
0.500 0.000 0.000 N
```

Output
N(E_F): 2.52 states/eV/cell
offset from the most stable computed form: 0.4924 eV/atom
total DFT energy (no corrections): -3.583 eV/atom
space-group type: P4/mmm (123)
energy relative to the elements, uncorrected: 1.283 eV/atom
size of the total moment: 4.84 Bohr magnetons per cell



No. 6
Entry from the Alexandria database: a relaxed CaS2IN crystal (GGA-PBE).

POSCAR file:
```
CaS2IN
1.0
5.240 0.000 0.000
0.000 5.240 0.000
0.000 0.000 4.000
Ca S I N
1 2 1 1
Direct
0.000 0.000 0.000 Ca
0.000 0.500 0.500 S
0.500 0.000 0.500 S
0.500 0.500 0.500 I
0.500 0.500 0.000 N
```

Output
N(E_F): 1.82 states/eV/cell
offset from the most stable computed form: 0.0000 eV/atom
total DFT energy (no corrections): -3.716 eV/atom
space-group type: P4/mmm (123)
energy relative to the elements, uncorrected: 0.311 eV/atom
size of the total moment: 0.00 Bohr magnetons per cell



No. 7
Entry from the Alexandria database: a relaxed CaSIN2 crystal (GGA-PBE).

POSCAR file:
```
CaSIN2
1.0
4.083 0.000 0.000
0.000 4.083 0.000
0.000 0.000 5.355
Ca S I N
1 1 1 2
Direct
0.000 0.000 0.000 Ca
0.500 0.500 0.000 S
0.500 0.500 0.500 I
0.000 0.500 0.500 N
0.500 0.000 0.500 N
```

Output
N(E_F): 0.99 states/eV/cell
offset from the most stable computed form: 0.0000 eV/atom
total DFT energy (no corrections): -4.075 eV/atom
space-group type: P4/mmm (123)
energy relative to the elements, uncorrected: 0.791 eV/atom
size of the total moment: 0.00 Bohr magnetons per cell



No. 8
Entry from the Alexandria database: a relaxed CaS2IN crystal (GGA-PBE).

POSCAR file:
```
CaS2IN
1.0
5.378 0.000 0.000
0.000 5.378 0.000
0.000 0.000 4.346
Ca S I N
1 2 1 1
Direct
0.000 0.000 0.000 Ca
0.000 0.500 0.000 S
0.500 0.000 0.000 S
0.500 0.500 0.500 I
0.000 0.000 0.500 N
```

Output
N(E_F): 9.20 states/eV/cell
offset from the most stable computed form: 0.6629 eV/atom
total DFT energy (no corrections): -3.053 eV/atom
space-group type: P4/mmm (123)
energy relative to the elements, uncorrected: 0.974 eV/atom
size of the total moment: 0.08 Bohr magnetons per cell